An optimized crystal structure of LiNd4Tm3Se8, computed with PBE.

total DFT energy (no corrections) = -5.65 eV/atom
energy relative to the elements, uncorrected = -1756 meV/atom
spin magnetization = 0.0 μB per formula unit

a = 8.1502 Å, b = 8.1502 Å, c = 20.5811 Å
α = 90.00°, β = 90.00°, γ = 120.00°
Space group R-3m (No. 166, hexagonal axes)
Symmetry-distinct sites (fractional):
Li: 0.0000 0.0000 0.0000 [3 per cell]
Nd: 0.0000 0.0000 0.5000 [3 per cell]
Nd: 0.0000 0.5000 0.5000 [9 per cell]
Tm: 0.0000 0.5000 0.0000 [9 per cell]
Se: 0.0000 0.0000 0.2565 [6 per cell]
Se: 0.0046 0.5023 0.7424 [18 per cell]